A) B2P: optimized geometry, PBE-GGA.

Results
- Fermi-level density of states (states/eV/f.u.) = 0.042
- total magnetic moment (μB per formula unit) = 0.00
- symmetry = P1

Cell: 3.1664 4.0845 4.8274 Å, 104.87 96.14 97.49°
With the nearest neighbours (Å) after each atom.
Fractional positions:
P: 0.8704 0.0531 0.7287  4 B 1.95-2.00
P: 0.2743 0.4069 0.3607  4 B 1.95-2.03
B: 0.3138 0.7616 0.7370  2 B 1.83-1.93, 3 P 1.96-2.00
B: 0.7272 0.1173 0.3448  1 B 1.72
B: 0.6308 0.7407 0.0706  4 B 1.72-1.86
B: 0.0607 0.5234 0.9922  3 B 1.74-1.93

=====

B) B2P: optimized geometry, PBE-GGA.

Results
- Fermi-level density of states (states/eV/f.u.) = 0.251
- total magnetic moment (μB per formula unit) = 0.00
- symmetry = P1

Cell: 3.0635 3.3094 3.5737 Å, 94.91 116.14 89.78°
With the nearest neighbours (Å) after each atom.
Fractional positions:
P: 0.1975 0.2614 0.9727  3 B 1.88-1.93
B: 0.5888 0.9855 0.7590  2 B 1.70-1.88, 2 P 1.88
B: 0.4852 0.4946 0.5468  2 B 1.70-1.88

=====

C) B2P: optimized geometry, PBE-GGA.

Results
- Fermi-level density of states (states/eV/f.u.) = 0.240
- total magnetic moment (μB per formula unit) = 0.00
- symmetry = C2

Cell: 6.0963 4.8094 4.1130 Å, 90.00 99.15 90.00°
With the nearest neighbours (Å) after each atom.
Fractional positions:
P: 0.6921 0.0107 0.3036  4 B 1.96-1.99
P: 0.3079 0.0107 0.6964  4 B 1.96-1.99
P: 0.6921 0.5107 0.8036  4 B 1.96-1.99
P: 0.3079 0.5107 0.1964  4 B 1.96-1.99
B: 0.1137 0.7892 0.3680  3 B 1.77-1.89, 1 P 1.96
B: 0.8863 0.7892 0.6320  3 B 1.77-1.89, 1 P 1.96
B: 0.1137 0.2892 0.8680  3 B 1.77-1.89, 1 P 1.96
B: 0.8863 0.2892 0.1320  3 B 1.77-1.89, 1 P 1.96
B: 0.0000 0.9623 0.0000  4 B 1.77-1.83
B: 0.0000 0.4623 0.5000  4 B 1.77-1.83
B: 0.5000 0.2679 0.5000  4 P 1.96
B: 0.5000 0.7679 0.0000  4 P 1.96

=====

D) B2P: optimized geometry, PBE-GGA.

Results
- Fermi-level density of states (states/eV/f.u.) = 0.489
- total magnetic moment (μB per formula unit) = 0.00
- symmetry = Fmm2

Cell: 15.6836 3.1216 5.3995 Å, 90.00 90.00 90.00°
With the nearest neighbours (Å) after each atom.
Fractional positions:
P: 0.6032 0.0000 0.1586  4 B 1.95
P: 0.3968 0.0000 0.1586  4 B 1.95
P: 0.6032 0.5000 0.6586  4 B 1.95
P: 0.3968 0.5000 0.6586  4 B 1.95
P: 0.1032 0.0000 0.6586  4 B 1.95
P: 0.8968 0.0000 0.6586  4 B 1.95
P: 0.1032 0.5000 0.1586  4 B 1.95
P: 0.8968 0.5000 0.1586  4 B 1.95
B: 0.5558 0.0000 0.4919  1 B 1.75, 3 P 1.95
B: 0.4442 0.0000 0.4919  1 B 1.75, 3 P 1.95
B: 0.5558 0.5000 0.9919  1 B 1.75, 3 P 1.95
B: 0.4442 0.5000 0.9919  1 B 1.75, 3 P 1.95
B: 0.0558 0.0000 0.9919  1 B 1.75, 3 P 1.95
B: 0.9442 0.0000 0.9919  1 B 1.75, 3 P 1.95
B: 0.0558 0.5000 0.4919  1 B 1.75, 3 P 1.95
B: 0.9442 0.5000 0.4919  1 B 1.75, 3 P 1.95
B: 0.7275 0.0000 0.1653  2 B 1.71
B: 0.2725 0.0000 0.1653  2 B 1.71
B: 0.7275 0.5000 0.6653  2 B 1.71
B: 0.2725 0.5000 0.6653  2 B 1.71
B: 0.2275 0.0000 0.6653  2 B 1.71
B: 0.7725 0.0000 0.6653  2 B 1.71
B: 0.2275 0.5000 0.1653  2 B 1.71
B: 0.7725 0.5000 0.1653  2 B 1.71

=====

Here is how they stack up, most stable first: C), A), D), B).

=====

A) B2P: optimized geometry, PBE-GGA.

Results
- Fermi-level density of states (states/eV/f.u.) = 0.350
- total magnetic moment (μB per formula unit) = 0.00
- symmetry = C2/m

Cell: 7.1143 3.1310 5.4865 Å, 90.00 103.03 90.00°
With the nearest neighbours (Å) after each atom.
Fractional positions:
P: 0.6626 0.0000 0.0630  3 B 1.93-1.96
P: 0.3374 0.0000 0.9370  3 B 1.93-1.96
P: 0.6626 0.5000 0.5630  3 B 1.93-1.96
P: 0.3374 0.5000 0.4370  3 B 1.93-1.96
B: 0.2381 0.0000 0.5728  2 B 1.85-1.90, 3 P 1.93-1.96
B: 0.7619 0.0000 0.4272  2 B 1.85-1.90, 3 P 1.93-1.96
B: 0.2381 0.5000 0.0728  2 B 1.85-1.90, 3 P 1.93-1.96
B: 0.7619 0.5000 0.9272  2 B 1.85-1.90, 3 P 1.93-1.96
B: 0.9975 0.0000 0.3376  5 B 1.77-1.90
B: 0.0025 0.0000 0.6624  5 B 1.77-1.90
B: 0.9975 0.5000 0.8376  5 B 1.77-1.90
B: 0.0025 0.5000 0.1624  5 B 1.77-1.90

=====

B) B2P: optimized geometry, PBE-GGA.

Results
- Fermi-level density of states (states/eV/f.u.) = 0.045
- total magnetic moment (μB per formula unit) = 0.00
- symmetry = P-1

Cell: 3.1483 4.0884 4.8329 Å, 104.80 94.95 98.49°
With the nearest neighbours (Å) after each atom.
Fractional positions:
P: 0.9318 0.5602 0.2981  3 B 1.95-1.97, 1 P 2.15
P: 0.0682 0.4398 0.7019  3 B 1.95-1.97, 1 P 2.15
B: 0.2290 0.9084 0.9607  2 B 1.73-1.75
B: 0.7710 0.0916 0.0393  2 B 1.73-1.75
B: 0.4894 0.8544 0.3229  2 B 1.81-1.95, 2 P 1.95-1.96
B: 0.5106 0.1456 0.6771  2 B 1.81-1.95, 2 P 1.95-1.96

=====

Here is how they stack up, most stable first: A), B).

=====

A) B2P: optimized geometry, PBE-GGA.

Results
- Fermi-level density of states (states/eV/f.u.) = 0.550
- total magnetic moment (μB per formula unit) = 0.00
- symmetry = R3m

Cell: 3.1510 3.1510 12.6469 Å, 90.00 90.00 120.00°
With the nearest neighbours (Å) after each atom.
Fractional positions:
P: 0.0000 0.0000 0.4452  4 B 1.87-1.95
P: 0.3333 0.6667 0.1118  4 B 1.87-1.95
P: 0.6667 0.3333 0.7785  4 B 1.87-1.95
B: 0.0000 0.0000 0.5932  1 B 1.64
B: 0.3333 0.6667 0.2599  1 B 1.64
B: 0.6667 0.3333 0.9266  1 B 1.64
B: 0.0000 0.0000 0.7226  1 B 1.64
B: 0.3333 0.6667 0.3892  1 B 1.64
B: 0.6667 0.3333 0.0559  1 B 1.64

=====

B) B2P: optimized geometry, PBE-GGA.

Results
- Fermi-level density of states (states/eV/f.u.) = 0.532
- total magnetic moment (μB per formula unit) = 0.00
- symmetry = P1

Cell: 3.2125 4.4561 4.6693 Å, 71.74 83.93 85.15°
With the nearest neighbours (Å) after each atom.
Fractional positions:
P: 0.4384 0.0783 0.2585  4 B 1.91-2.01
P: 0.7591 0.3930 0.6240  4 B 1.93-2.00
B: 0.7749 0.7060 0.2181  3 B 1.79-1.94, 2 P 1.95-1.97
B: 0.2868 0.1180 0.6587  1 B 1.74, 1 P 1.94
B: 0.2675 0.8230 0.0083  4 B 1.74-1.94
B: 0.5962 0.4848 0.9982  2 B 1.78-1.79, 2 P 1.91-1.93

=====

C) B2P: optimized geometry, PBE-GGA.

Results
- Fermi-level density of states (states/eV/f.u.) = 0.675
- total magnetic moment (μB per formula unit) = 0.00
- symmetry = Cmmm

Cell: 6.6476 3.0158 3.1658 Å, 90.00 90.00 90.00°
With the nearest neighbours (Å) after each atom.
Fractional positions:
P: 0.5000 0.0000 0.0000  4 B 2.04
P: 0.0000 0.5000 0.0000  4 B 2.04
B: 0.6943 0.0000 0.5000  2 B 1.68
B: 0.3057 0.0000 0.5000  2 B 1.68
B: 0.1943 0.5000 0.5000  2 B 1.68
B: 0.8057 0.5000 0.5000  2 B 1.68

=====

D) B2P: optimized geometry, PBE-GGA.

Results
- Fermi-level density of states (states/eV/f.u.) = 0.187
- total magnetic moment (μB per formula unit) = 0.00
- symmetry = Amm2

Cell: 6.9142 3.1519 5.4738 Å, 90.00 90.00 90.00°
With the nearest neighbours (Å) after each atom.
Fractional positions:
P: 0.3354 0.0000 0.7954  3 B 1.94
P: 0.6646 0.0000 0.7954  3 B 1.94
P: 0.3354 0.5000 0.2954  3 B 1.94
P: 0.6646 0.5000 0.2954  3 B 1.94
B: 0.2389 0.0000 0.1290  2 B 1.88-1.89, 3 P 1.94
B: 0.7611 0.0000 0.1290  2 B 1.88-1.89, 3 P 1.94
B: 0.2389 0.5000 0.6290  2 B 1.88-1.89, 3 P 1.94
B: 0.7611 0.5000 0.6290  2 B 1.88-1.89, 3 P 1.94
B: 0.0000 0.0000 0.2953  5 B 1.81-1.89
B: 0.0000 0.5000 0.7953  5 B 1.81-1.89
B: 0.0000 0.0000 0.9653  5 B 1.81-1.88
B: 0.0000 0.5000 0.4653  5 B 1.81-1.88

=====

Here is how they stack up, most stable first: D), B), A), C).

=====

A) BP2: optimized geometry, PBE-GGA.

Results
- Fermi-level density of states (states/eV/f.u.) = 0.793
- total magnetic moment (μB per formula unit) = 0.00
- symmetry = C222

Cell: 3.6957 5.4165 3.8418 Å, 90.00 90.00 90.00°
With the nearest neighbours (Å) after each atom.
Fractional positions:
P: 0.2500 0.2500 0.7124  2 B 1.98
P: 0.2500 0.7500 0.2876  2 B 1.98
P: 0.7500 0.2500 0.2876  2 B 1.98
P: 0.7500 0.7500 0.7124  2 B 1.98
B: 0.0000 0.5000 0.0000  4 P 1.98
B: 0.5000 0.0000 0.0000  4 P 1.98

=====

B) BP2: optimized geometry, PBE-GGA.

Results
- Fermi-level density of states (states/eV/f.u.) = 0.776
- total magnetic moment (μB per formula unit) = 0.00
- symmetry = P2/m

Cell: 3.0583 2.4338 5.1222 Å, 90.00 106.98 90.00°
With the nearest neighbours (Å) after each atom.
Fractional positions:
P: 0.8648 0.5000 0.7233  2 B 2.04
P: 0.1352 0.5000 0.2767  2 B 2.04
B: 0.5000 0.5000 0.0000  4 P 2.04

=====

Here is how they stack up, most stable first: A), B).

=====

A) BP2: optimized geometry, PBE-GGA.

Results
- Fermi-level density of states (states/eV/f.u.) = 0.686
- total magnetic moment (μB per formula unit) = 0.00
- symmetry = P1

Cell: 3.1357 3.5003 5.7645 Å, 75.19 88.71 63.35°
With the nearest neighbours (Å) after each atom.
Fractional positions:
P: 0.8031 0.4798 0.0425  3 B 1.94-2.01
P: 0.7056 0.6466 0.3848  1 B 1.94
B: 0.4911 0.1016 0.0793  4 P 1.94-2.01

=====

B) BP2: optimized geometry, PBE-GGA.

Results
- Fermi-level density of states (states/eV/f.u.) = 0.787
- total magnetic moment (μB per formula unit) = 0.00
- symmetry = Pm

Cell: 3.1442 2.3314 5.9699 Å, 90.00 106.09 90.00°
With the nearest neighbours (Å) after each atom.
Fractional positions:
P: 0.8503 0.5000 0.1268  1 B 1.94
P: 0.6296 0.5000 0.6601  2 B 1.93
B: 0.0267 0.5000 0.4653  3 P 1.93-1.94

=====

Here is how they stack up, most stable first: A), B).

=====

A) B3P: optimized geometry, PBE-GGA.

Results
- Fermi-level density of states (states/eV/f.u.) = 0.071
- total magnetic moment (μB per formula unit) = 0.00
- symmetry = C2

Cell: 4.3621 4.4278 4.5956 Å, 90.00 117.09 90.00°
With the nearest neighbours (Å) after each atom.
Fractional positions:
P: 0.0000 0.9393 0.0000  5 B 1.94-2.01
P: 0.0000 0.4393 0.5000  5 B 1.94-2.01
B: 0.0000 0.4907 0.0000  2 B 1.80, 1 P 1.99
B: 0.0000 0.9907 0.5000  2 B 1.80, 1 P 1.99
B: 0.2852 0.7387 0.4329  2 B 1.69-1.80
B: 0.7148 0.7387 0.5671  2 B 1.69-1.80
B: 0.2852 0.2387 0.9329  2 B 1.69-1.80
B: 0.7148 0.2387 0.0671  2 B 1.69-1.80

=====

B) B3P: optimized geometry, PBE-GGA.

Results
- Fermi-level density of states (states/eV/f.u.) = 0.835
- total magnetic moment (μB per formula unit) = 0.00
- symmetry = R-3m

Cell: 2.8290 2.8290 15.6183 Å, 90.00 90.00 120.00°
With the nearest neighbours (Å) after each atom.
Fractional positions:
P: 0.0000 0.0000 0.5000  2 B 2.03
P: 0.3333 0.6667 0.1667  2 B 2.03
P: 0.6667 0.3333 0.8333  2 B 2.03
B: 0.0000 0.0000 0.6298  3 B 1.73
B: 0.0000 0.0000 0.3702  3 B 1.73
B: 0.3333 0.6667 0.2964  3 B 1.73
B: 0.3333 0.6667 0.0369  3 B 1.73
B: 0.6667 0.3333 0.9631  3 B 1.73
B: 0.6667 0.3333 0.7036  3 B 1.73
B: 0.0000 0.0000 0.0000  6 B 1.73
B: 0.3333 0.6667 0.6667  6 B 1.73
B: 0.6667 0.3333 0.3333  6 B 1.73

=====

C) B3P: optimized geometry, PBE-GGA.

Results
- Fermi-level density of states (states/eV/f.u.) = 0.510
- total magnetic moment (μB per formula unit) = 0.00
- symmetry = C2

Cell: 3.8940 4.9031 3.9280 Å, 90.00 104.85 90.00°
With the nearest neighbours (Å) after each atom.
Fractional positions:
P: 0.0000 0.9509 0.0000  4 B 1.95-2.00
P: 0.0000 0.4509 0.5000  4 B 1.95-2.00
B: 0.3117 0.6679 0.2901  3 B 1.75-1.91, 1 P 1.95
B: 0.6883 0.6679 0.7099  3 B 1.75-1.91, 1 P 1.95
B: 0.3117 0.1679 0.7901  3 B 1.75-1.91, 1 P 1.95
B: 0.6883 0.1679 0.2099  3 B 1.75-1.91, 1 P 1.95
B: 0.5000 0.9845 0.5000  4 B 1.75-1.82
B: 0.5000 0.4845 0.0000  4 B 1.75-1.82

=====

Here is how they stack up, most stable first: C), A), B).

=====

A) PaBP: optimized geometry, PBE-GGA.

Results
- Fermi-level density of states (states/eV/f.u.) = 2.829
- total magnetic moment (μB per formula unit) = 0.00
- symmetry = C2/m

Cell: 3.2941 5.3412 5.7151 Å, 93.98 90.00 107.96°
With the nearest neighbours (Å) after each atom.
Fractional positions:
Pa: 0.6534 0.3067 0.7874  5 B 2.73-2.94, 5 P 2.79-2.91
Pa: 0.3466 0.6933 0.2126  5 B 2.73-2.94, 5 P 2.79-2.91
B: 0.0580 0.1160 0.1164  1 B 1.71
B: 0.9420 0.8840 0.8836  1 B 1.71
P: 0.3791 0.7582 0.7103  2 B 2.00
P: 0.6209 0.2418 0.2897  2 B 2.00

=====

B) PaBP: optimized geometry, PBE-GGA.

Results
- Fermi-level density of states (states/eV/f.u.) = 3.303
- total magnetic moment (μB per formula unit) = 0.00
- symmetry = I4mm

Cell: 3.8494 3.8494 4.4506 Å, 115.62 115.62 90.00°
With the nearest neighbours (Å) after each atom.
Fractional positions:
P: 0.2436 0.2436 0.4872  1 B 1.84
B: 0.9827 0.9827 0.9655  1 P 1.84
Pa: 0.6236 0.6236 0.2473  1 B 2.53, 1 P 2.68

=====

Here is how they stack up, most stable first: A), B).

=====

A) PaBP: optimized geometry, PBE-GGA.

Results
- Fermi-level density of states (states/eV/f.u.) = 1.884
- total magnetic moment (μB per formula unit) = 0.00
- symmetry = P-6m2

Cell: 4.0057 3.5230 3.5230 Å, 120.00 90.00 90.00°
With the nearest neighbours (Å) after each atom.
Fractional positions:
P: 0.1667 0.3333 0.6667  3 B 2.03
B: 0.1666 0.0000 0.0000  3 P 2.03
Pa: 0.6667 0.6667 0.3333  6 B 2.85, 6 P 2.85

=====

B) PaBP: optimized geometry, PBE-GGA.

Results
- Fermi-level density of states (states/eV/f.u.) = 2.720
- total magnetic moment (μB per formula unit) = 0.00
- symmetry = Pnma

Cell: 3.5826 7.7332 7.0089 Å, 90.00 90.00 90.00°
With the nearest neighbours (Å) after each atom.
Fractional positions:
Pa: 0.2500 0.2966 0.1771  5 P 2.72-2.76, 4 B 2.89-2.93
Pa: 0.7500 0.7034 0.8229  5 P 2.72-2.76, 4 B 2.89-2.93
Pa: 0.7500 0.2034 0.6771  5 P 2.72-2.76, 4 B 2.89-2.93
Pa: 0.2500 0.7966 0.3229  5 P 2.72-2.76, 4 B 2.89-2.93
P: 0.2500 0.9366 0.6845  1 B 1.96
P: 0.7500 0.0634 0.3155  1 B 1.96
P: 0.7500 0.5634 0.1845  1 B 1.96
P: 0.2500 0.4366 0.8155  1 B 1.96
B: 0.2500 0.4766 0.5390  2 B 1.91, 1 P 1.96
B: 0.7500 0.5234 0.4610  2 B 1.91, 1 P 1.96
B: 0.7500 0.0234 0.0390  2 B 1.91, 1 P 1.96
B: 0.2500 0.9766 0.9610  2 B 1.91, 1 P 1.96

=====

Here is how they stack up, most stable first: B), A).

=====

A) BPPb2: optimized geometry, PBE-GGA.

Results
- Fermi-level density of states (states/eV/f.u.) = 2.412
- total magnetic moment (μB per formula unit) = 0.00
- symmetry = Fm-3m

Cell: 4.9795 4.9795 4.9795 Å, 60.00 60.00 60.00°
With the nearest neighbours (Å) after each atom.
Fractional positions:
Pb: 0.2500 0.2500 0.2500  4 B 3.05, 4 P 3.05
Pb: 0.7500 0.7500 0.7500  4 B 3.05, 4 P 3.05
P: 0.5000 0.5000 0.5000  8 Pb 3.05
B: 0.0000 0.0000 0.0000  8 Pb 3.05

=====

B) BPPb2: optimized geometry, PBE-GGA.

Results
- Fermi-level density of states (states/eV/f.u.) = 0.004
- total magnetic moment (μB per formula unit) = 0.00
- symmetry = I-42d

Cell: 5.8537 5.8537 7.1484 Å, 65.83 65.83 90.00°
With the nearest neighbours (Å) after each atom.
Fractional positions:
Pb: 0.5760 0.1250 0.2500  2 B 2.38
Pb: 0.1740 0.6250 0.2500  2 B 2.38
Pb: 0.3750 0.4240 0.7500  2 B 2.38
Pb: 0.8750 0.8260 0.7500  2 B 2.38
P: 0.0000 0.0000 0.0000  4 Pb 2.71
P: 0.7500 0.2500 0.5000  4 Pb 2.71
B: 0.5000 0.5000 0.0000  4 Pb 2.38
B: 0.2500 0.7500 0.5000  4 Pb 2.38

=====

Here is how they stack up, most stable first: B), A).

=====

A) BP3Pd: optimized geometry, PBE-GGA.

Results
- Fermi-level density of states (states/eV/f.u.) = 1.866
- total magnetic moment (μB per formula unit) = 0.00
- symmetry = Pm-3m

Cell: 4.0838 4.0838 4.0838 Å, 90.00 90.00 90.00°
With the nearest neighbours (Å) after each atom.
Fractional positions:
P: 0.0000 0.5000 0.0000  2 B 2.04
P: 0.0000 0.0000 0.5000  2 B 2.04
P: 0.5000 0.0000 0.0000  2 B 2.04
B: 0.0000 0.0000 0.0000  6 P 2.04
Pd: 0.5000 0.5000 0.5000  12 P 2.89

=====

B) BP3Pd: optimized geometry, PBE-GGA.

Results
- Fermi-level density of states (states/eV/f.u.) = 6.562
- total magnetic moment (μB per formula unit) = 0.40
- symmetry = Pm-3m

Cell: 4.6771 4.6771 4.6771 Å, 90.00 90.00 90.00°
With the nearest neighbours (Å) after each atom.
Fractional positions:
P: 0.0000 0.5000 0.0000  2 Pd 2.34
P: 0.0000 0.0000 0.5000  2 Pd 2.34
P: 0.5000 0.0000 0.0000  2 Pd 2.34
B: 0.5000 0.5000 0.5000  12 P 3.31
Pd: 0.0000 0.0000 0.0000  6 P 2.34

=====

Here is how they stack up, most stable first: A), B).